Entry from Alexandria: Zn2PtCl after structural relaxation (GGA-PBE).

Excess energy over the best structure of this formula in the dataset = 463 meV per atom
ΔE_f (raw) = -30 meV per atom
V = 18.4 Å³ per atom
Final energy = -2.64 eV per atom

Unit cell a=6.287 b=6.287 c=6.287 alpha=146.93 beta=146.93 gamma=47.47
Fractional coordinates of all 4 atoms:
Zn 0.000 0.000 0.000
Zn 0.750 0.250 0.500
Pt 0.500 0.500 0.000
Cl 0.250 0.750 0.500